No. 1
CoH12Br2O6: relaxed, PBE with a Hubbard U.

Unit cell a=6.3948 b=6.3948 c=6.6370 alpha=117.33 beta=96.39 gamma=114.08
Last column: nearest neighbours and their distance in Å.
Sites, in units of the cell vectors:
H 0.2674 0.5632 0.8306  1 O 1.00
H 0.8190 0.6390 0.4580  1 O 0.99
H 0.6857 0.0071 0.2299  1 O 0.99
H 0.3143 0.9929 0.7701  1 O 0.99
H 0.8057 0.8533 0.2793  1 O 1.01
H 0.2228 0.5442 0.2299  1 O 0.99
H 0.5740 0.5264 0.7207  1 O 1.01
H 0.7772 0.4558 0.7701  1 O 0.99
H 0.1943 0.1467 0.7207  1 O 1.01
H 0.4260 0.4736 0.2793  1 O 1.01
H 0.7326 0.4368 0.1694  1 O 1.00
H 0.1810 0.3610 0.5420  1 O 0.99
Br 0.2908 0.8884 0.1792  3 H 2.22-2.25
Br 0.7092 0.1116 0.8208  3 H 2.22-2.25
O 0.1583 0.9921 0.7437  2 H 0.99-1.01
O 0.7517 0.5855 0.7437  2 H 0.99-1.01
O 0.7165 0.5833 0.2998  2 H 0.99-1.00
O 0.8417 0.0079 0.2563  2 H 0.99-1.01
O 0.2835 0.4167 0.7002  2 H 0.99-1.00
O 0.2483 0.4145 0.2563  2 H 0.99-1.01
Co 0.0000 0.0000 0.0000  4 O 2.07

Properties
* VASP energy: -4.71 eV/atom
* total moment: 3.00 μB/cell
* symmetry: No. 12
* V: 205 Å³ per cell

=====

No. 2
CoH4Br2O2: relaxed, PBE with a Hubbard U.

Unit cell a=3.7229 b=5.7487 c=5.7487 alpha=96.66 beta=95.61 gamma=95.61
Last column: nearest neighbours and their distance in Å.
Sites, in units of the cell vectors:
H 0.8573 0.2156 0.6076  1 O 0.99
H 0.8573 0.6076 0.2156  1 O 0.99
H 0.1427 0.7844 0.3924  1 O 0.99
H 0.1427 0.3924 0.7844  1 O 0.99
Br 0.5714 0.2436 0.2436  2 H 2.28
Br 0.4286 0.7564 0.7564  2 H 2.28
Co 0.0000 0.0000 0.0000  2 O 2.02
O 0.0000 0.7643 0.2357  2 H 0.99
O 0.0000 0.2357 0.7643  2 H 0.99

Properties
* VASP energy: -4.41 eV/atom
* total moment: 3.00 μB/cell
* symmetry: No. 12
* V: 121 Å³ per cell

=====

No. 3
CoH8Br2O4: relaxed, PBE with a Hubbard U.

Unit cell a=8.5072 b=6.9777 c=6.0383 alpha=90.00 beta=110.24 gamma=90.00
Last column: nearest neighbours and their distance in Å.
Sites, in units of the cell vectors:
O 0.4360 0.7006 0.7339  2 H 0.99
O 0.2570 0.5030 0.9916  2 H 0.99
O 0.7570 0.9970 0.9916  2 H 0.99
O 0.5640 0.2994 0.2661  2 H 0.99
O 0.0640 0.2006 0.2661  2 H 0.99
O 0.9360 0.7994 0.7339  2 H 0.99
O 0.2430 0.0030 0.0084  2 H 0.99
O 0.7430 0.4970 0.0084  2 H 0.99
H 0.1616 0.4321 0.8802  1 O 0.99
H 0.7141 0.9340 0.1060  1 O 0.99
H 0.8384 0.5679 0.1198  1 O 0.99
H 0.2141 0.5660 0.1060  1 O 0.99
H 0.8198 0.8072 0.6211  1 O 0.99
H 0.6802 0.3072 0.3789  1 O 0.99
H 0.3384 0.9321 0.1198  1 O 0.99
H 0.7859 0.4340 0.8940  1 O 0.99
H 0.4945 0.2880 0.3672  1 O 0.99
H 0.2859 0.0660 0.8940  1 O 0.99
H 0.3198 0.6928 0.6211  1 O 0.99
H 0.0055 0.7880 0.6328  1 O 0.99
H 0.1802 0.1928 0.3789  1 O 0.99
H 0.9945 0.2120 0.3672  1 O 0.99
H 0.6616 0.0679 0.8802  1 O 0.99
H 0.5055 0.7120 0.6328  1 O 0.99
Br 0.5792 0.7783 0.3157  4 H 2.24-2.26
Br 0.4208 0.2217 0.6843  4 H 2.24-2.26
Br 0.0792 0.7217 0.3157  4 H 2.24-2.26
Br 0.9208 0.2783 0.6843  4 H 2.24-2.26
Co 0.0000 0.0000 0.0000  4 O 2.05-2.06
Co 0.5000 0.5000 0.0000  4 O 2.05-2.06

Properties
* VASP energy: -4.61 eV/atom
* total moment: 6.00 μB/cell
* symmetry: No. 14
* V: 336 Å³ per cell

=====

No. 4
CoH12Br2O14: relaxed, PBE with a Hubbard U.

Unit cell a=7.6917 b=7.7027 c=5.2611 alpha=90.00 beta=89.71 gamma=120.05
Last column: nearest neighbours and their distance in Å.
Sites, in units of the cell vectors:
H 0.6579 0.9318 0.2281  1 O 0.98
H 0.7265 0.0678 0.7731  1 O 0.98
H 0.9327 0.2734 0.7725  1 O 0.98
H 0.7265 0.6587 0.7731  1 O 0.98
H 0.2735 0.3413 0.2269  1 O 0.98
H 0.3421 0.0682 0.7719  1 O 0.98
H 0.0673 0.7266 0.2275  1 O 0.98
H 0.9327 0.6593 0.7725  1 O 0.98
H 0.0673 0.3407 0.2275  1 O 0.98
H 0.6579 0.7261 0.2281  1 O 0.98
H 0.3421 0.2739 0.7719  1 O 0.98
H 0.2735 0.9322 0.2269  1 O 0.98
O 0.8730 0.7458 0.7734  2 H 0.98
O 0.1270 0.2542 0.2266  2 H 0.98
O 0.8996 0.4498 0.2222  1 Br 1.65
O 0.3338 0.6669 0.3562  1 Br 1.64
O 0.8730 0.1272 0.7734  2 H 0.98
O 0.4492 0.8985 0.7779  1 Br 1.65
O 0.5508 0.4493 0.2221  1 Br 1.65
O 0.4492 0.5507 0.7779  1 Br 1.65
O 0.5508 0.1015 0.2221  1 Br 1.65
O 0.6662 0.3331 0.6438  1 Br 1.64
O 0.1004 0.5502 0.7778  1 Br 1.65
O 0.2549 0.1275 0.7724  2 H 0.98
O 0.1270 0.8728 0.2266  2 H 0.98
O 0.7451 0.8725 0.2276  2 H 0.98
Br 0.6668 0.3334 0.3321  4 O 1.64-1.65
Br 0.3332 0.6666 0.6679  4 O 1.64-1.65
Co 0.0000 0.0000 0.0000  6 O 2.07-2.08

Properties
* VASP energy: -4.65 eV/atom
* total moment: 3.00 μB/cell
* symmetry: No. 12
* V: 270 Å³ per cell